(1)
Density functional theory data (PBE with a Hubbard U) for a relaxed structure of Li3MnBAsO7.

a = 5.0920 Å, b = 6.8457 Å, c = 8.4800 Å
α = 90.00°, β = 95.60°, γ = 90.00°
With the nearest neighbours (Å) after each atom.
Space group P2_1/m (No. 11)
Unique sites:
Li 0.2251 0.2500 0.0970  4 O 1.97-2.16
Li 0.2516 0.5024 0.7653  4 O 2.06-2.29
Mn 0.2164 0.7500 0.3142  6 O 1.94-2.15
B 0.3045 0.7500 0.0380  3 O 1.35-1.42
As 0.2546 0.2500 0.4171  4 O 1.71-1.73
O 0.0483 0.7500 0.0835  1 B 1.40
O 0.1281 0.2500 0.5978  1 As 1.72
O 0.1584 0.0600 0.2928  1 As 1.71
O 0.3762 0.7500 0.8890  1 B 1.35
O 0.4075 0.7500 0.5343  1 As 1.73
O 0.4934 0.7500 0.1725  1 B 1.42

Summary:
Total DFT energy (no corrections) (eV/cell): -166.9

(2)
Density functional theory data (PBE with a Hubbard U) for a relaxed structure of Li2MnBAsO7.

a = 5.1867 Å, b = 6.3892 Å, c = 8.8726 Å
α = 90.00°, β = 94.02°, γ = 90.00°
With the nearest neighbours (Å) after each atom.
Space group P2_1/m (No. 11)
Unique sites:
Li 0.2316 0.0207 0.3108  3 O 1.96-2.14
Mn 0.2118 0.7500 0.8263  6 O 1.91-1.99
B 0.2643 0.7500 0.5576  3 O 1.32-1.42
As 0.2772 0.2500 0.9295  4 O 1.71-1.73
O 0.0273 0.7500 0.6280  1 B 1.42
O 0.1416 0.2500 0.1000  1 As 1.71
O 0.1813 0.0480 0.8111  1 As 1.72, 1 Mn 1.91
O 0.2909 0.7500 0.4104  1 B 1.32
O 0.3930 0.7500 0.0281  1 As 1.73
O 0.4664 0.7500 0.6742  1 B 1.42

Summary:
Total DFT energy (no corrections) (eV/cell): -156.0